Record 1
This record from the Alexandria database describes a geometry-optimized Cd2GaCu structure. The functional is PBE.

Values from the calculation:
- crystal system = trigonal
- DOS at the Fermi energy (states/eV/atom) = 0.43

a = 2.943 Å, b = 2.943 Å, c = 10.770 Å
α = 82.15°, β = 82.15°, γ = 60.00°
Element x y z (fractional)
Cu (0.000, 0.000, 0.000)
Ga (0.500, 0.500, 0.500)
Cd (0.084, 0.084, 0.748)
Cd (0.916, 0.916, 0.252)

=====

Record 2
This record from the Alexandria database describes a geometry-optimized MnTc2IrN structure. The functional is PBE.

Values from the calculation:
- crystal system = tetragonal
- DOS at the Fermi energy (states/eV/atom) = 0.89
- formation energy (no corrections) (eV/atom) = -0.05

a = 4.001 Å, b = 4.001 Å, c = 3.927 Å
α = 90.00°, β = 90.00°, γ = 90.00°
Element x y z (fractional)
Ir (0.500, 0.500, 0.500)
Tc (0.000, 0.500, 0.000)
Tc (0.500, 0.000, 0.000)
Mn (0.000, 0.000, 0.500)
N (0.000, 0.000, 0.000)

=====

Record 3
This record from the Alexandria database describes a geometry-optimized MgMn2Cl structure. The functional is PBE.

Values from the calculation:
- crystal system = orthorhombic
- DOS at the Fermi energy (states/eV/atom) = 0.87
- energy above the lowest structure with this stoichiometry (meV/atom) = 323
- formation energy (no corrections) (eV/atom) = 0.20

a = 3.075 Å, b = 3.075 Å, c = 8.599 Å
α = 90.00°, β = 90.00°, γ = 115.98°
Element x y z (fractional)
Cl (0.500, 0.500, 0.250)
Mg (0.500, 0.500, 0.750)
Mn (0.000, 0.000, 0.016)
Mn (0.000, 0.000, 0.484)

=====

Record 4
This record from the Alexandria database describes a geometry-optimized LaPN2 structure. The functional is PBE.

Values from the calculation:
- crystal system = tetragonal
- DOS at the Fermi energy (states/eV/atom) = 0.00
- formation energy (no corrections) (eV/atom) = -0.10

a = 4.938 Å, b = 4.938 Å, c = 6.150 Å
α = 66.33°, β = 66.33°, γ = 90.00°
Element x y z (fractional)
P (0.500, 0.500, 0.000)
P (0.250, 0.750, 0.500)
N (0.524, 0.125, 0.250)
N (0.226, 0.625, 0.250)
N (0.375, 0.476, 0.750)
N (0.875, 0.774, 0.750)
La (0.000, 0.000, 0.000)
La (0.750, 0.250, 0.500)

=====

Record 5
This record from the Alexandria database describes a geometry-optimized Mg4In2Ni structure. The functional is PBE.

Values from the calculation:
- crystal system = tetragonal
- DOS at the Fermi energy (states/eV/atom) = 0.45

a = 4.806 Å, b = 4.806 Å, c = 8.127 Å
α = 72.80°, β = 72.80°, γ = 90.00°
Element x y z (fractional)
Ni (0.000, 0.000, 0.000)
Mg (0.169, 0.169, 0.663)
Mg (0.831, 0.831, 0.337)
Mg (0.000, 0.500, 0.000)
Mg (0.500, 0.000, 0.000)
In (0.366, 0.366, 0.268)
In (0.634, 0.634, 0.732)

=====

Record 6
This record from the Alexandria database describes a geometry-optimized CdAg5Pt2 structure. The functional is PBE.

Values from the calculation:
- crystal system = orthorhombic
- DOS at the Fermi energy (states/eV/atom) = 0.36

a = 4.097 Å, b = 5.822 Å, c = 11.639 Å
α = 90.00°, β = 90.00°, γ = 90.00°
Element x y z (fractional)
Cd (0.000, 0.000, 0.500)
Cd (0.000, 0.500, 0.000)
Ag (0.000, 0.000, 0.000)
Ag (0.000, 0.500, 0.500)
Ag (0.000, 0.486, 0.749)
Ag (0.000, 0.514, 0.251)
Ag (0.000, 0.014, 0.249)
Ag (0.000, 0.986, 0.751)
Ag (0.500, 0.238, 0.872)
Ag (0.500, 0.762, 0.128)
Ag (0.500, 0.262, 0.372)
Ag (0.500, 0.738, 0.628)
Pt (0.500, 0.239, 0.623)
Pt (0.500, 0.761, 0.377)
Pt (0.500, 0.261, 0.123)
Pt (0.500, 0.739, 0.877)

=====

Record 7
This record from the Alexandria database describes a geometry-optimized Na12Ca3Tl5 structure. The functional is PBE.

Values from the calculation:
- crystal system = cubic
- DOS at the Fermi energy (states/eV/atom) = 0.65

a = 16.536 Å, b = 16.536 Å, c = 16.536 Å
α = 109.47°, β = 109.47°, γ = 109.47°
Element x y z (fractional)
Ca (0.750, 0.375, 0.125)
Ca (0.875, 0.750, 0.125)
Ca (0.375, 0.750, 0.625)
Ca (0.250, 0.125, 0.375)
Ca (0.875, 0.125, 0.250)
Ca (0.375, 0.625, 0.250)
Ca (0.625, 0.375, 0.750)
Ca (0.125, 0.875, 0.750)
Ca (0.750, 0.875, 0.625)
Ca (0.625, 0.250, 0.375)
Ca (0.125, 0.250, 0.875)
Ca (0.250, 0.625, 0.875)
Tl (0.125, 0.375, 0.250)
Tl (0.000, 0.500, 0.000)
Tl (0.000, 0.000, 0.000)
Tl (0.375, 0.250, 0.125)
Tl (0.500, 0.000, 0.500)
Tl (0.500, 0.500, 0.000)
Tl (0.125, 0.750, 0.375)
Tl (0.750, 0.125, 0.875)
Tl (0.750, 0.625, 0.375)
Tl (0.375, 0.125, 0.750)
Tl (0.625, 0.875, 0.250)
Tl (0.500, 0.500, 0.500)
Tl (0.500, 0.000, 0.000)
Tl (0.000, 0.000, 0.500)
Tl (0.250, 0.375, 0.625)
Tl (0.250, 0.875, 0.125)
Tl (0.000, 0.500, 0.500)
Tl (0.875, 0.250, 0.625)
Tl (0.625, 0.750, 0.875)
Tl (0.875, 0.625, 0.750)
Na (0.712, 0.113, 0.040)
Na (0.329, 0.540, 0.428)
Na (0.960, 0.387, 0.288)
Na (0.540, 0.212, 0.113)
Na (0.599, 0.712, 0.671)
Na (0.960, 0.572, 0.171)
Na (0.329, 0.788, 0.401)
Na (0.072, 0.901, 0.113)
Na (0.572, 0.960, 0.671)
Na (0.712, 0.599, 0.171)
Na (0.788, 0.460, 0.387)
Na (0.829, 0.928, 0.040)
Na (0.113, 0.712, 0.540)
Na (0.387, 0.428, 0.099)
Na (0.099, 0.928, 0.387)
Na (0.401, 0.113, 0.572)
Na (0.099, 0.171, 0.212)
Na (0.460, 0.671, 0.072)
Na (0.829, 0.901, 0.288)
Na (0.113, 0.401, 0.072)
Na (0.387, 0.960, 0.788)
Na (0.572, 0.613, 0.401)
Na (0.928, 0.829, 0.540)
Na (0.788, 0.329, 0.901)
Na (0.428, 0.387, 0.599)
Na (0.072, 0.171, 0.460)
Na (0.212, 0.671, 0.099)
Na (0.171, 0.099, 0.712)
Na (0.613, 0.040, 0.212)
Na (0.887, 0.599, 0.928)
Na (0.540, 0.329, 0.928)
Na (0.599, 0.887, 0.428)
Na (0.901, 0.829, 0.788)
Na (0.901, 0.072, 0.613)
Na (0.887, 0.288, 0.460)
Na (0.171, 0.072, 0.960)
Na (0.613, 0.572, 0.901)
Na (0.428, 0.040, 0.329)
Na (0.288, 0.401, 0.829)
Na (0.212, 0.540, 0.613)
Na (0.928, 0.099, 0.887)
Na (0.671, 0.212, 0.599)
Na (0.460, 0.788, 0.887)
Na (0.040, 0.428, 0.829)
Na (0.401, 0.288, 0.329)
Na (0.040, 0.613, 0.712)
Na (0.671, 0.460, 0.572)
Na (0.288, 0.887, 0.960)

=====

Record 8
This record from the Alexandria database describes a geometry-optimized CdSbMo2 structure. The functional is PBE.

Values from the calculation:
- crystal system = monoclinic
- DOS at the Fermi energy (states/eV/atom) = 0.71
- energy above the lowest structure with this stoichiometry (meV/atom) = 302
- formation energy (no corrections) (eV/atom) = 0.53

a = 4.981 Å, b = 4.981 Å, c = 4.959 Å
α = 78.18°, β = 78.18°, γ = 38.21°
Element x y z (fractional)
Cd (0.750, 0.750, 0.750)
Mo (0.996, 0.996, 0.014)
Mo (0.504, 0.504, 0.486)
Sb (0.250, 0.250, 0.250)

=====

Record 9
This record from the Alexandria database describes a geometry-optimized CaSc2Pb structure. The functional is PBE.

Values from the calculation:
- crystal system = orthorhombic
- DOS at the Fermi energy (states/eV/atom) = 1.13

a = 3.553 Å, b = 4.481 Å, c = 6.818 Å
α = 90.00°, β = 90.00°, γ = 90.00°
Element x y z (fractional)
Pb (0.500, 0.500, 0.769)
Sc (0.000, 0.000, 0.005)
Sc (0.500, 0.500, 0.221)
Ca (0.000, 0.000, 0.505)

=====

Record 10
This record from the Alexandria database describes a geometry-optimized AgAs2Os structure. The functional is PBE.

Values from the calculation:
- crystal system = cubic
- DOS at the Fermi energy (states/eV/atom) = 0.88
- energy above the lowest structure with this stoichiometry (meV/atom) = 675

a = 4.575 Å, b = 4.575 Å, c = 4.575 Å
α = 60.00°, β = 60.00°, γ = 60.00°
Element x y z (fractional)
As (0.000, 0.000, 0.000)
As (0.250, 0.250, 0.250)
Os (0.750, 0.750, 0.750)
Ag (0.500, 0.500, 0.500)

=====

Record 11
This record from the Alexandria database describes a geometry-optimized Pm2Sm3TmTe6 structure. The functional is PBE.

Values from the calculation:
- crystal system = monoclinic
- DOS at the Fermi energy (states/eV/atom) = 0.56
- formation energy (no corrections) (eV/atom) = -1.36

a = 4.399 Å, b = 8.906 Å, c = 9.903 Å
α = 102.47°, β = 102.83°, γ = 90.00°
Element x y z (fractional)
Pm (0.829, 0.663, 0.658)
Pm (0.171, 0.337, 0.342)
Sm (0.500, 0.500, 0.000)
Sm (0.826, 0.165, 0.653)
Sm (0.174, 0.835, 0.347)
Tm (0.500, 0.000, 0.000)
Te (0.340, 0.921, 0.680)
Te (0.664, 0.584, 0.328)
Te (0.660, 0.079, 0.320)
Te (0.998, 0.240, 0.997)
Te (0.002, 0.760, 0.003)
Te (0.336, 0.416, 0.672)

=====

Record 12
This record from the Alexandria database describes a geometry-optimized MgCr2W structure. The functional is PBE.

Values from the calculation:
- crystal system = orthorhombic
- DOS at the Fermi energy (states/eV/atom) = 0.93
- energy above the lowest structure with this stoichiometry (meV/atom) = 181

a = 4.976 Å, b = 4.976 Å, c = 4.976 Å
α = 143.62°, β = 127.05°, γ = 65.94°
Element x y z (fractional)
Cr (0.015, 0.015, 0.000)
Cr (0.485, 0.485, 0.000)
Mg (0.750, 0.250, 0.500)
W (0.250, 0.750, 0.500)

=====

Number 1: uncorrected energy -1.99 eV per atom. Number 2: uncorrected energy -9.47 eV per atom. Number 3: uncorrected energy -5.25 eV per atom. Number 4: uncorrected energy -6.85 eV per atom. Number 5: uncorrected energy -2.44 eV per atom. Number 6: uncorrected energy -3.47 eV per atom. Number 7: uncorrected energy -1.39 eV per atom. Number 8: uncorrected energy -6.14 eV per atom. Number 9: uncorrected energy -4.77 eV per atom. Number 10: uncorrected energy -4.99 eV per atom. Number 11: uncorrected energy -5.27 eV per atom. Number 12: uncorrected energy -7.94 eV per atom.